## Rb2Mg3CoF12 (PBE+U)

Data for an optimized crystal structure of Rb2Mg3CoF12.

Final energy, eV/f.u.: -85.4
Total magnetization, μB/f.u.: 1.09
Space-group type: R-3m (166)

Lattice parameters (Å, degrees): 7.313 7.313 7.313 59.26 59.26 59.26
Fractional coordinates of all 18 atoms:
1 Rb 0.115 0.115 0.115
2 Rb 0.885 0.885 0.885
3 Mg 0.000 0.500 0.500
4 Mg 0.500 0.000 0.500
5 Mg 0.500 0.500 0.000
6 Co 0.500 0.500 0.500
7 F 0.174 0.174 0.567
8 F 0.174 0.567 0.174
9 F 0.203 0.564 0.564
10 F 0.433 0.826 0.826
11 F 0.436 0.436 0.797
12 F 0.436 0.797 0.436
13 F 0.564 0.203 0.564
14 F 0.564 0.564 0.203
15 F 0.567 0.174 0.174
16 F 0.797 0.436 0.436
17 F 0.826 0.433 0.826
18 F 0.826 0.826 0.433